Compound: AuC
Source: Alexandria via LeMat-Bulk
Functional: meta-GGA SCAN
Structure: PBEsol geometry

```
AuC
1.0
4.296 0.000 0.000
0.000 4.296 0.000
0.000 0.000 4.296
Au C
3 3
direct
0.000 0.000 0.500
0.000 0.500 0.000
0.500 0.000 0.000
0.000 0.500 0.500
0.500 0.000 0.500
0.500 0.500 0.000
```

Values from the calculation:
ΔE to the lowest computed polymorph   95 meV per atom
E_form   2.05 eV per atom
N(E_F)   0.29 states/eV per atom
VASP energy   -75.15 eV/f.u.
Magnetization   0.00 μB per cell